(1)
Compound: ZrZn2Tc
Source: the Alexandria database
Functional: PBEsol
Structure: optimized geometry

a b c (Å): 2.7153 4.0954 5.5116
angles (deg): 90.00 91.60 90.00
With the nearest neighbours (Å) after each atom.
Fractional positions:
Zr: 0.0000 0.0000 0.0000  2 Zr 2.72, 2 Tc 2.76, 8 Zn 2.87-2.90
Zn: 0.4956 0.5000 0.7251  3 Zn 2.48-2.72, 4 Tc 2.73-2.78
Zn: 0.5044 0.5000 0.2749  3 Zn 2.48-2.72, 4 Tc 2.73-2.78
Tc: 0.0000 0.0000 0.5000  2 Tc 2.72, 8 Zn 2.73-2.78, 2 Zr 2.76

Summary:
As for the energy above the most stable polymorph in this dataset: 98 meV per atom. The energy relative to the elements is -0.132 eV/atom.



(2)
Compound: CaTcAu
Source: the Alexandria database
Functional: PBEsol
Structure: optimized geometry

a b c (Å): 4.6039 4.6039 4.6039
angles (deg): 60.00 60.00 60.00
With the nearest neighbours (Å) after each atom.
Fractional positions:
Ca: 0.0000 0.0000 0.0000  4 Au 2.82
Tc: 0.5000 0.5000 0.5000  4 Au 2.82
Au: 0.7500 0.7500 0.7500  4 Tc 2.82, 4 Ca 2.82

Summary:
The energy relative to the elements is 0.676 eV/atom.



(3)
Compound: LuNi3
Source: the Alexandria database
Functional: PBEsol
Structure: optimized geometry

a b c (Å): 3.7255 3.7255 3.7255
angles (deg): 90.00 90.00 90.00
With the nearest neighbours (Å) after each atom.
Fractional positions:
Lu: 0.0000 0.0000 0.0000  12 Ni 2.63
Ni: 0.0000 0.5000 0.5000  8 Ni 2.63, 4 Lu 2.63
Ni: 0.5000 0.0000 0.5000  8 Ni 2.63, 4 Lu 2.63
Ni: 0.5000 0.5000 0.0000  8 Ni 2.63, 4 Lu 2.63

Summary:
The energy relative to the elements is -0.365 eV/atom.